Record 1
A plane-wave DFT calculation with GGA-PBE was carried out for an optimized crystal structure of KMg3C4O12.

Results
formation energy (no corrections): -1.86 eV/atom
energy: -6.974 eV/atom

The structure in POSCAR format:
```
KMg3C4O12
1.0
-4.3690 -3.4064 2.8319
5.2133 -2.8304 1.8767
0.0386 5.1495 3.4919
O C Mg K
12 4 3 1
direct
0.0097 0.5909 0.7866 O
0.9903 0.2134 0.4091 O
0.7866 0.0097 0.5909 O
0.6344 0.5000 0.3656 O
0.4091 0.9903 0.2134 O
0.3656 0.6344 0.5000 O
0.2134 0.4091 0.9903 O
0.0892 0.9108 0.5000 O
0.5000 0.3656 0.6344 O
0.5000 0.0892 0.9108 O
0.9108 0.5000 0.0892 O
0.5909 0.7866 0.0097 O
0.9530 0.0470 0.5000 C
0.5000 0.5000 0.5000 C
0.0470 0.5000 0.9530 C
0.5000 0.9530 0.0470 C
0.4509 0.0000 0.5491 Mg
0.0000 0.5491 0.4509 Mg
0.5491 0.4509 0.0000 Mg
0.0000 0.0000 0.0000 K
```

---

Record 2
A plane-wave DFT calculation with GGA-PBE was carried out for an optimized crystal structure of KMgC2O6.

Results
formation energy (no corrections): -1.73 eV/atom
energy: -6.814 eV/atom

The structure in POSCAR format:
```
KMgC2O6
1.0
5.0968 0.0000 0.0000
2.5484 4.4140 0.0000
2.5484 1.4713 5.8693
O Mg K C
6 1 1 2
direct
0.9466 0.3840 0.2859 O
0.3834 0.9466 0.2859 O
0.0534 0.6160 0.7141 O
0.3840 0.3834 0.2859 O
0.6160 0.6166 0.7141 O
0.6166 0.0534 0.7141 O
0.5000 0.5000 0.5000 Mg
0.0000 0.0000 0.0000 K
0.7637 0.7637 0.7090 C
0.2363 0.2363 0.2910 C
```

---

Record 3
A plane-wave DFT calculation with GGA-PBE was carried out for an optimized crystal structure of KMgC2O.

Results
formation energy (no corrections): 1.62 eV/atom
energy: -3.598 eV/atom

The structure in POSCAR format:
```
KMgC2O
1.0
4.7154 0.0000 0.0000
0.0000 3.7145 0.0000
0.0000 0.0000 4.7154
K O C Mg
1 1 2 1
direct
0.5000 0.5000 0.5000 K
0.0000 0.0000 0.0000 O
0.5000 0.0000 0.0000 C
0.0000 0.0000 0.5000 C
0.0000 0.5000 0.0000 Mg
```

---

Record 4
A plane-wave DFT calculation with GGA-PBE was carried out for an optimized crystal structure of K3MgPCO7.

Results
formation energy (no corrections): -2.17 eV/atom
energy: -6.346 eV/atom

The structure in POSCAR format:
```
K3MgPCO7
1.0
6.9475 0.0000 0.0000
0.0000 5.6784 -0.0143
0.0000 0.0286 9.4963
O K P Mg C
14 6 2 2 2
direct
0.2500 0.2515 0.9459 O
0.7500 0.0292 0.5183 O
0.0670 0.7505 0.6726 O
0.7500 0.4757 0.5157 O
0.7500 0.7485 0.0541 O
0.7500 0.5528 0.8454 O
0.4330 0.7505 0.6726 O
0.5670 0.2495 0.3274 O
0.2500 0.5243 0.4843 O
0.9330 0.2495 0.3274 O
0.2500 0.0542 0.1542 O
0.2500 0.4472 0.1546 O
0.2500 0.9708 0.4817 O
0.7500 0.9458 0.8458 O
0.9900 0.7495 0.2923 K
0.2500 0.7511 0.9296 K
0.7500 0.2489 0.0704 K
0.4900 0.2505 0.7077 K
0.0100 0.2505 0.7077 K
0.5100 0.7495 0.2923 K
0.2500 0.7491 0.5782 P
0.7500 0.2509 0.4218 P
0.2500 0.2494 0.3512 Mg
0.7500 0.7506 0.6488 Mg
0.2500 0.2510 0.0818 C
0.7500 0.7490 0.9182 C
```

---

Q: Look up the formation energy (no corrections) of the second one.
A: -1.73 eV/atom

---

Q: Among the records above, which one has the highest energy?
A: KMgC2O

---

Q: What is the formula in the third record?
A: KMgC2O